No. 1
LuThZn4 | PBE | optimized geometry

Computed properties:
As for the space group: F-43m (216). The calculation puts the total energy at -18.59 eV/cell. Its density is 9.5 g cm⁻³. The calculation puts the formation energy at -0.26 eV per atom. The calculation puts the calculated volume at 117.0 Å³ per cell. As for the magnetization: 0.0 μB per cell.

Cell and atoms, written as POSCAR:
```
LuThZn4
1.0
5.4897 0.0000 0.0000
2.7448 4.7542 0.0000
2.7448 1.5847 4.4823
Zn Lu Th
4 1 1
direct
0.6261 0.6261 0.6261
0.6261 0.6261 0.1217
0.1217 0.6261 0.6261
0.6261 0.1217 0.6261
0.0000 0.0000 0.0000
0.2500 0.2500 0.2500
```

---

No. 2
LuThZr2 | PBE | optimized geometry

Computed properties:
As for the space group: P4/mmm (123). As for the relative energy among the computed polymorphs: 33.7 meV/atom. The calculation puts the total energy at -28.62 eV/cell. Its density is 9.1 g cm⁻³. The calculation puts the formation energy at 0.10 eV per atom. The calculation puts the calculated volume at 107.0 Å³ per cell. As for the magnetization: 0.0 μB per cell.

Cell and atoms, written as POSCAR:
```
LuThZr2
1.0
3.9369 0.0000 0.0000
0.0000 3.9369 0.0000
0.0000 0.0000 6.9023
Th Zr Lu
1 2 1
direct
0.5000 0.5000 0.5000
0.0000 0.0000 0.7249
0.0000 0.0000 0.2751
0.5000 0.5000 0.0000
```

---

No. 3
LuTh2Zr | PBE | optimized geometry

Computed properties:
As for the space group: P4/mmm (123). As for the relative energy among the computed polymorphs: 0.0 meV/atom. The calculation puts the total energy at -27.59 eV/cell. Its density is 10.4 g cm⁻³. The calculation puts the formation energy at 0.08 eV per atom. The calculation puts the calculated volume at 116.7 Å³ per cell. As for the magnetization: 0.0 μB per cell.

Cell and atoms, written as POSCAR:
```
LuTh2Zr
1.0
-2.5938 1.5023 3.7857
-1.6818 -4.5717 0.6620
3.7902 -0.9630 2.9790
Lu Th Zr
1 2 1
direct
0.5000 0.5000 0.5000
0.0000 0.5000 0.0000
0.0000 0.0000 0.5000
0.5000 0.0000 0.0000
```

---

No. 4
Lu2ThZr | PBE | optimized geometry

Computed properties:
As for the space group: P4/mmm (123). As for the relative energy among the computed polymorphs: 0.0 meV/atom. The calculation puts the total energy at -24.81 eV/cell. Its density is 10.0 g cm⁻³. The calculation puts the formation energy at 0.05 eV per atom. The calculation puts the calculated volume at 112.2 Å³ per cell. As for the magnetization: 0.0 μB per cell.

Cell and atoms, written as POSCAR:
```
Lu2ThZr
1.0
4.9384 0.0000 0.0000
0.0000 4.7655 0.0000
0.0000 0.0000 4.7655
Zr Th Lu
1 1 2
direct
0.5000 0.0000 0.0000
0.5000 0.5000 0.5000
0.0000 0.0000 0.5000
0.0000 0.5000 0.0000
```

---

No. 5
LuTh2Zr | PBE | optimized geometry

Computed properties:
As for the space group: R-3m (166). As for the relative energy among the computed polymorphs: 24.9 meV/atom. The calculation puts the total energy at -27.49 eV/cell. Its density is 10.4 g cm⁻³. The calculation puts the formation energy at 0.10 eV per atom. The calculation puts the calculated volume at 116.2 Å³ per cell. As for the magnetization: 0.0 μB per cell.

Cell and atoms, written as POSCAR:
```
LuTh2Zr
1.0
3.4842 0.0000 0.0000
1.7421 3.0174 0.0000
1.7421 1.0058 11.0493
Th Lu Zr
2 1 1
direct
0.7476 0.7476 0.7571
0.2524 0.2524 0.2429
0.5000 0.5000 0.5000
0.0000 0.0000 0.0000
```

---

No. 6
LuThZr | PBE | optimized geometry

Computed properties:
As for the space group: I4mm (107). As for the relative energy among the computed polymorphs: 0.0 meV/atom. The calculation puts the total energy at -20.26 eV/cell. Its density is 9.8 g cm⁻³. The calculation puts the formation energy at 0.08 eV per atom. The calculation puts the calculated volume at 84.3 Å³ per cell. As for the magnetization: 0.0 μB per cell.

Cell and atoms, written as POSCAR:
```
LuThZr
1.0
-1.2313 3.1317 0.0359
-2.9991 -1.1679 -0.9831
0.1183 -1.8486 7.5948
Lu Th Zr
1 1 1
direct
0.9913 0.9913 0.9826
0.6724 0.6724 0.3449
0.3362 0.3362 0.6725
```

---

No. 7
LuThZr2 | PBE | optimized geometry

Computed properties:
As for the space group: R-3m (166). As for the relative energy among the computed polymorphs: 273.5 meV/atom. The calculation puts the total energy at -27.66 eV/cell. Its density is 8.8 g cm⁻³. The calculation puts the formation energy at 0.34 eV per atom. The calculation puts the calculated volume at 111.1 Å³ per cell. As for the magnetization: 0.0 μB per cell.

Cell and atoms, written as POSCAR:
```
LuThZr2
1.0
3.3477 0.0000 0.0000
1.6739 2.8992 0.0000
1.6739 0.9664 11.4495
Lu Th Zr
1 1 2
direct
0.0000 0.0000 0.0000
0.5000 0.5000 0.5000
0.0890 0.0890 0.7331
0.9110 0.9110 0.2669
```

---

No. 8
LuThZr | PBE | optimized geometry

Computed properties:
As for the space group: P-6m2 (187). As for the relative energy among the computed polymorphs: 12.0 meV/atom. The calculation puts the total energy at -20.22 eV/cell. Its density is 9.7 g cm⁻³. The calculation puts the formation energy at 0.09 eV per atom. The calculation puts the calculated volume at 85.3 Å³ per cell. As for the magnetization: 0.0 μB per cell.

Cell and atoms, written as POSCAR:
```
LuThZr
1.0
3.4078 0.0000 0.0000
0.0000 5.3748 0.0000
0.0000 -2.6874 4.6547
Th Lu Zr
1 1 1
direct
0.6668 0.6667 0.3333
0.1664 0.0000 0.0000
0.1668 0.3333 0.6667
```

---

No. 9
Lu2ThZr | PBE | optimized geometry

Computed properties:
As for the space group: P4/mmm (123). As for the relative energy among the computed polymorphs: 113.8 meV/atom. The calculation puts the total energy at -24.36 eV/cell. Its density is 9.9 g cm⁻³. The calculation puts the formation energy at 0.16 eV per atom. The calculation puts the calculated volume at 113.2 Å³ per cell. As for the magnetization: 0.0 μB per cell.

Cell and atoms, written as POSCAR:
```
Lu2ThZr
1.0
-2.8902 -1.7963 -2.1266
0.8384 -3.4849 1.8042
-4.6516 1.4985 5.0559
Th Lu Zr
1 2 1
direct
0.5000 0.5000 0.5000
0.0000 0.0000 0.2331
0.0000 0.0000 0.7669
0.5000 0.5000 0.0000
```

---

No. 10
LuTh2Zr | PBE | optimized geometry

Computed properties:
As for the space group: P4/mmm (123). As for the relative energy among the computed polymorphs: 15.4 meV/atom. The calculation puts the total energy at -27.53 eV/cell. Its density is 10.4 g cm⁻³. The calculation puts the formation energy at 0.10 eV per atom. The calculation puts the calculated volume at 117.0 Å³ per cell. As for the magnetization: 0.0 μB per cell.

Cell and atoms, written as POSCAR:
```
LuTh2Zr
1.0
-2.8396 -0.1496 2.4300
0.7061 -3.6235 0.6021
5.2101 2.0479 6.2143
Th Zr Lu
2 1 1
direct
0.0000 0.0000 0.2328
0.0000 0.0000 0.7672
0.5000 0.5000 0.0000
0.5000 0.5000 0.5000
```

---

No. 11
LuThZr2 | PBE | optimized geometry

Computed properties:
As for the space group: Fm-3m (225). As for the relative energy among the computed polymorphs: 92.4 meV/atom. The calculation puts the total energy at -28.39 eV/cell. Its density is 9.3 g cm⁻³. The calculation puts the formation energy at 0.16 eV per atom. The calculation puts the calculated volume at 105.6 Å³ per cell. As for the magnetization: 0.0 μB per cell.

Cell and atoms, written as POSCAR:
```
LuThZr2
1.0
5.3051 0.0000 0.0000
2.6526 4.5944 0.0000
2.6526 1.5315 4.3316
Zr Th Lu
2 1 1
direct
0.7500 0.7500 0.7500
0.2500 0.2500 0.2500
0.0000 0.0000 0.0000
0.5000 0.5000 0.5000
```

---

No. 12
LuTh2Zr | PBE | optimized geometry

Computed properties:
As for the space group: Fm-3m (225). As for the relative energy among the computed polymorphs: 33.2 meV/atom. The calculation puts the total energy at -27.46 eV/cell. Its density is 10.5 g cm⁻³. The calculation puts the formation energy at 0.11 eV per atom. The calculation puts the calculated volume at 115.7 Å³ per cell. As for the magnetization: 0.0 μB per cell.

Cell and atoms, written as POSCAR:
```
LuTh2Zr
1.0
-3.8421 2.5089 2.9756
-0.4599 -1.0789 5.3418
1.4298 3.7788 3.6860
Lu Th Zr
1 2 1
direct
0.0000 0.0000 0.0000
0.2500 0.2500 0.2500
0.7500 0.7500 0.7500
0.5000 0.5000 0.5000
```

---

No. 13
LuThZr2 | PBE | optimized geometry

Computed properties:
As for the space group: P4/mmm (123). As for the relative energy among the computed polymorphs: 0.0 meV/atom. The calculation puts the total energy at -28.76 eV/cell. Its density is 9.3 g cm⁻³. The calculation puts the formation energy at 0.07 eV per atom. The calculation puts the calculated volume at 105.8 Å³ per cell. As for the magnetization: 0.0 μB per cell.

Cell and atoms, written as POSCAR:
```
LuThZr2
1.0
4.6565 0.0000 0.0000
0.0000 4.7666 0.0000
0.0000 0.0000 4.7666
Th Lu Zr
1 1 2
direct
0.5000 0.5000 0.5000
0.5000 0.0000 0.0000
0.0000 0.5000 0.0000
0.0000 0.0000 0.5000
```

---

No. 14
LuTi6 | PBE | optimized geometry

Computed properties:
As for the space group: Im-3m (229). The calculation puts the total energy at -41.81 eV/cell. Its density is 4.7 g cm⁻³. The calculation puts the formation energy at 1.44 eV per atom. The calculation puts the calculated volume at 164.3 Å³ per cell. As for the magnetization: 7.2 μB per cell.

Cell and atoms, written as POSCAR:
```
LuTi6
1.0
-2.2189 -5.5367 -0.3637
5.8966 -0.1502 -0.9582
-1.0779 2.2246 5.4406
Lu Ti
1 6
direct
0.0000 0.0000 0.0000
0.5000 0.2500 0.7500
0.7500 0.2500 0.5000
0.2500 0.5000 0.7500
0.2500 0.7500 0.5000
0.7500 0.5000 0.2500
0.5000 0.7500 0.2500
```

---

No. 15
Lu3Ti | PBE | optimized geometry

Computed properties:
As for the space group: Pm-3m (221). As for the relative energy among the computed polymorphs: 110.8 meV/atom. The calculation puts the total energy at -20.47 eV/cell. Its density is 9.2 g cm⁻³. The calculation puts the formation energy at 0.25 eV per atom. The calculation puts the calculated volume at 103.9 Å³ per cell. As for the magnetization: 1.4 μB per cell.

Cell and atoms, written as POSCAR:
```
Lu3Ti
1.0
4.7006 0.0000 0.0000
0.0000 4.7006 0.0000
0.0000 0.0000 4.7006
Ti Lu
1 3
direct
0.0000 0.0000 0.0000
0.5000 0.0000 0.5000
0.0000 0.5000 0.5000
0.5000 0.5000 0.0000
```

---

No. 16
LuTi2 | PBE | optimized geometry

Computed properties:
As for the space group: Fd-3m (227). The calculation puts the total energy at -39.31 eV/cell. Its density is 6.7 g cm⁻³. The calculation puts the formation energy at 0.22 eV per atom. The calculation puts the calculated volume at 133.2 Å³ per cell. As for the magnetization: 8.9 μB per cell.

Cell and atoms, written as POSCAR:
```
LuTi2
1.0
5.7329 0.0000 0.0000
2.8664 4.9648 0.0000
2.8664 1.6549 4.6809
Ti Lu
4 2
direct
0.1250 0.6250 0.6250
0.6250 0.6250 0.1250
0.6250 0.6250 0.6250
0.6250 0.1250 0.6250
0.0000 0.0000 0.0000
0.2500 0.2500 0.2500
```

---

No. 17
Lu3Ti | PBE | optimized geometry

Computed properties:
As for the space group: Imm2 (44). As for the relative energy among the computed polymorphs: 0.0 meV/atom. The calculation puts the total energy at -20.91 eV/cell. Its density is 9.1 g cm⁻³. The calculation puts the formation energy at 0.14 eV per atom. The calculation puts the calculated volume at 104.2 Å³ per cell. As for the magnetization: 0.8 μB per cell.

Cell and atoms, written as POSCAR:
```
Lu3Ti
1.0
3.3900 0.0000 0.0000
0.0000 5.8341 0.0000
-1.6950 -2.9171 5.2708
Lu Ti
3 1
direct
0.2654 0.6069 0.5307
0.5000 0.4797 0.0000
0.7346 0.0762 0.4693
0.0000 0.0039 0.0000
```

---

No. 18
Lu3Ti | PBE | optimized geometry

Computed properties:
As for the space group: Pmm2 (25). As for the relative energy among the computed polymorphs: 3.6 meV/atom. The calculation puts the total energy at -20.89 eV/cell. Its density is 9.1 g cm⁻³. The calculation puts the formation energy at 0.14 eV per atom. The calculation puts the calculated volume at 104.1 Å³ per cell. As for the magnetization: 1.0 μB per cell.

Cell and atoms, written as POSCAR:
```
Lu3Ti
1.0
-3.1444 -0.7381 1.0139
1.7812 -0.9574 4.8273
-0.8597 5.6327 1.4344
Lu Ti
3 1
direct
0.5000 0.0000 0.5003
0.0000 0.5000 0.3206
0.5000 0.5000 0.8413
0.0000 0.0000 0.0043
```

---

No. 19
Lu3Ti | PBE | optimized geometry

Computed properties:
As for the space group: I4/mmm (139). As for the relative energy among the computed polymorphs: 38.4 meV/atom. The calculation puts the total energy at -20.76 eV/cell. Its density is 9.1 g cm⁻³. The calculation puts the formation energy at 0.18 eV per atom. The calculation puts the calculated volume at 104.2 Å³ per cell. As for the magnetization: 1.3 μB per cell.

Cell and atoms, written as POSCAR:
```
Lu3Ti
1.0
4.7084 0.0000 0.0000
0.0000 4.7084 0.0000
-2.3542 -2.3542 4.7017
Ti Lu
1 3
direct
0.0000 0.0000 0.0000
0.2500 0.7500 0.5000
0.5000 0.5000 0.0000
0.7500 0.2500 0.5000
```

---

No. 20
LuTi2 | PBE | optimized geometry

Computed properties:
As for the space group: I4/mmm (139). The calculation puts the total energy at -19.87 eV/cell. Its density is 7.0 g cm⁻³. The calculation puts the formation energy at 0.15 eV per atom. The calculation puts the calculated volume at 64.2 Å³ per cell. As for the magnetization: 1.9 μB per cell.

Cell and atoms, written as POSCAR:
```
LuTi2
1.0
-3.3479 0.2667 0.9540
-0.3046 -3.4767 -0.0971
3.2482 1.3390 4.6360
Ti Lu
2 1
direct
0.6968 0.6968 0.3936
0.3032 0.3032 0.6064
0.0000 0.0000 0.0000
```